No. 1
First-principles (SCAN) data for TaCoSb2Te at its PBEsol-relaxed geometry, as listed in Alexandria.

a b c (Å): 5.2863 5.2863 5.2378
angles (deg): 90.00 90.00 90.00
Space group P4/mmm (No. 123)
One atom of each set of equivalent atoms:
Ta1 0.0000 0.0000 0.0000 (multiplicity 1)
Co1 0.5000 0.5000 0.5000 (multiplicity 1)
Sb1 0.0000 0.5000 0.0000 (multiplicity 2)
Te1 0.0000 0.0000 0.5000 (multiplicity 1)

Calculated values
- DOS at the Fermi energy: 1.083 states/eV/atom
- Formation energy without anion corrections: 1.02 eV/atom
- Spin magnetization: 0.597 μB/atom

=====

No. 2
First-principles (SCAN) data for CoTc2Sb at its PBEsol-relaxed geometry, as listed in Alexandria.

a b c (Å): 6.1471 6.1471 6.1471
angles (deg): 90.00 90.00 90.00
Space group F-43m (No. 216)
One atom of each set of equivalent atoms:
Co1 0.0000 0.0000 0.0000 (multiplicity 4)
Tc1 0.0000 0.0000 0.5000 (multiplicity 4)
Tc2 0.2500 0.2500 0.2500 (multiplicity 4)
Sb1 0.2500 0.2500 0.7500 (multiplicity 4)

Calculated values
- DOS at the Fermi energy: 0.693 states/eV/atom
- Formation energy without anion corrections: 0.20 eV/atom
- Spin magnetization: 0.925 μB/atom

=====

No. 3
First-principles (SCAN) data for Co2TcSb at its PBEsol-relaxed geometry, as listed in Alexandria.

a b c (Å): 3.2013 3.2013 5.2850
angles (deg): 90.00 90.00 90.00
Space group P4/mmm (No. 123)
One atom of each set of equivalent atoms:
Co1 0.0000 0.0000 0.2296 (multiplicity 2)
Tc1 0.5000 0.5000 0.0000 (multiplicity 1)
Sb1 0.5000 0.5000 0.5000 (multiplicity 1)

Calculated values
- DOS at the Fermi energy: 0.736 states/eV/atom
- Formation energy without anion corrections: 0.43 eV/atom
- Spin magnetization: 0.266 μB/atom

=====

No. 4
First-principles (SCAN) data for CoTc2Sb at its PBEsol-relaxed geometry, as listed in Alexandria.

a b c (Å): 3.8548 3.8548 7.6827
angles (deg): 90.00 90.00 90.00
Space group I4/mmm (No. 139)
One atom of each set of equivalent atoms:
Co1 0.0000 0.0000 0.0000 (multiplicity 2)
Tc1 0.0000 0.5000 0.2500 (multiplicity 4)
Sb1 0.0000 0.0000 0.5000 (multiplicity 2)

Calculated values
- DOS at the Fermi energy: 1.180 states/eV/atom
- Formation energy without anion corrections: 0.32 eV/atom
- Spin magnetization: 0.000 μB/atom

=====

No. 5
First-principles (SCAN) data for Co2TcSb at its PBEsol-relaxed geometry, as listed in Alexandria.

a b c (Å): 5.3014 7.1558 2.8255
angles (deg): 90.00 90.00 90.00
Space group Cmmm (No. 65)
One atom of each set of equivalent atoms:
Co1 0.2500 0.2500 0.0000 (multiplicity 4)
Tc1 0.0000 0.0000 0.5000 (multiplicity 2)
Sb1 0.0000 0.5000 0.5000 (multiplicity 2)

Calculated values
- DOS at the Fermi energy: 0.861 states/eV/atom
- Formation energy without anion corrections: 0.40 eV/atom
- Spin magnetization: 0.820 μB/atom

=====

No. 6
First-principles (SCAN) data for Co2TcSb at its PBEsol-relaxed geometry, as listed in Alexandria.

a b c (Å): 2.7822 4.1615 4.5945
angles (deg): 90.00 90.00 90.00
Space group Pmm2 (No. 25)
One atom of each set of equivalent atoms:
Co1 0.0000 0.0000 0.0000 (multiplicity 1)
Co2 0.0000 0.5000 0.3138 (multiplicity 1)
Tc1 0.5000 0.5000 0.8511 (multiplicity 1)
Sb1 0.5000 0.0000 0.4729 (multiplicity 1)

Calculated values
- DOS at the Fermi energy: 0.715 states/eV/atom
- Formation energy without anion corrections: 0.37 eV/atom
- Spin magnetization: 0.007 μB/atom

=====

No. 7
First-principles (SCAN) data for CoTc2Sb at its PBEsol-relaxed geometry, as listed in Alexandria.

a b c (Å): 8.8334 2.9508 4.5759
angles (deg): 90.00 101.06 90.00
Space group C2/m (No. 12)
One atom of each set of equivalent atoms:
Co1 0.0000 0.0000 0.0000 (multiplicity 2)
Tc1 0.2365 0.5000 0.2137 (multiplicity 4)
Sb1 0.0000 0.5000 0.5000 (multiplicity 2)

Calculated values
- DOS at the Fermi energy: 0.912 states/eV/atom
- Formation energy without anion corrections: 0.30 eV/atom
- Spin magnetization: 0.318 μB/atom

=====

No. 8
First-principles (SCAN) data for CoTcSbTe2 at its PBEsol-relaxed geometry, as listed in Alexandria.

a b c (Å): 5.1190 5.1190 5.0382
angles (deg): 90.00 90.00 90.00
Space group P4/mmm (No. 123)
One atom of each set of equivalent atoms:
Co1 0.0000 0.0000 0.0000 (multiplicity 1)
Tc1 0.5000 0.5000 0.5000 (multiplicity 1)
Sb1 0.5000 0.5000 0.0000 (multiplicity 1)
Te1 0.0000 0.5000 0.5000 (multiplicity 2)

Calculated values
- DOS at the Fermi energy: 0.889 states/eV/atom
- Formation energy without anion corrections: 0.95 eV/atom
- Spin magnetization: 0.325 μB/atom